No. 1
Entry from OQMD: PrPbAu after structural relaxation (PBE).

Geometry as POSCAR:
```
PrPbAu
1.0
5.324 0.000 0.000
-2.662 4.610 0.000
0.000 0.000 6.474
Au Pb Pr
2 2 2
Cartesian
0.000 0.000 0.000 Au
0.000 0.000 3.237 Au
0.000 3.074 1.619 Pb
2.662 1.537 4.856 Pb
2.662 1.537 1.619 Pr
0.000 3.074 4.856 Pr
```

Electronic total energy ... -4.293 eV per atom
Space group ... P6_3/mmc

No. 2
Entry from OQMD: LaNdDy after structural relaxation (PBE).

Geometry as POSCAR:
```
LaNdDy
1.0
3.473 -2.087 3.665
-0.983 -4.897 2.216
3.129 -4.278 -1.329
Dy La Nd
1 1 1
Cartesian
1.405 -2.815 1.138 Dy
0.000 0.000 0.000 La
4.214 -8.446 3.413 Nd
```

Electronic total energy ... -4.016 eV per atom
Space group ... F-43m

No. 3
Entry from OQMD: Th2ZnAg3 after structural relaxation (PBE).

Geometry as POSCAR:
```
Th2ZnAg3
1.0
0.000 4.846 8.389
3.370 0.000 8.389
3.370 4.846 0.000
Ag Th Zn
6 4 2
Cartesian
3.370 4.846 13.931 Ag
3.370 2.474 9.812 Ag
3.370 2.474 6.967 Ag
3.370 7.219 9.812 Ag
3.370 7.219 6.967 Ag
3.370 4.846 2.848 Ag
1.663 4.846 8.389 Th
1.685 2.423 4.195 Th
5.056 7.269 12.584 Th
5.078 4.846 8.389 Th
3.370 4.846 11.189 Zn
3.370 4.846 5.590 Zn
```

Electronic total energy ... -4.298 eV per atom
Space group ... Fmmm

No. 4
Entry from OQMD: BaMgTaCo after structural relaxation (PBE).

Geometry as POSCAR:
```
BaMgTaCo
1.0
2.807 -1.222 3.978
0.279 3.114 3.927
-2.200 -1.230 4.341
Ba Co Mg Ta
1 1 1 1
Cartesian
0.000 0.000 0.000 Ba
0.222 0.165 3.061 Co
0.665 0.496 9.184 Mg
0.443 0.331 6.123 Ta
```

Electronic total energy ... -4.588 eV per atom
Space group ... F-43m
Excess energy over the best structure of this formula in the dataset ... 0.036 eV per atom

No. 5
Entry from OQMD: AgCClO after structural relaxation (PBE).

Geometry as POSCAR:
```
AgCClO
1.0
3.763 0.000 0.000
0.000 8.475 0.000
0.000 0.000 5.052
Ag C Cl O
2 2 2 2
Cartesian
1.882 2.977 2.494 Ag
0.000 5.498 5.020 Ag
1.882 1.323 1.278 C
0.000 7.152 3.804 C
1.882 5.437 1.813 Cl
0.000 3.038 4.339 Cl
1.882 0.330 0.702 O
0.000 8.145 3.228 O
```

Electronic total energy ... -5.141 eV per atom
Space group ... Pmn2_1

No. 6
Entry from OQMD: La2Pr2Si3Ge after structural relaxation (PBE).

Geometry as POSCAR:
```
La2Pr2Si3Ge
1.0
-3.691 -5.164 -3.103
-1.450 -6.898 0.476
-5.186 1.387 3.919
Ge La Pr Si
1 2 2 3
Cartesian
-7.541 -10.113 -0.180 Ge
-3.604 -5.076 -0.204 La
-6.721 -5.618 1.485 La
-5.006 -8.391 -0.932 Pr
-5.319 -2.263 2.233 Pr
-0.800 -1.044 -0.005 Si
-2.763 -0.575 1.451 Si
-9.554 -9.620 1.320 Si
```

Electronic total energy ... -5.806 eV per atom
Space group ... Cm

Repeat the sixth record exactly.
Entry from OQMD: La2Pr2Si3Ge after structural relaxation (PBE).

Geometry as POSCAR:
```
La2Pr2Si3Ge
1.0
-3.691 -5.164 -3.103
-1.450 -6.898 0.476
-5.186 1.387 3.919
Ge La Pr Si
1 2 2 3
Cartesian
-7.541 -10.113 -0.180 Ge
-3.604 -5.076 -0.204 La
-6.721 -5.618 1.485 La
-5.006 -8.391 -0.932 Pr
-5.319 -2.263 2.233 Pr
-0.800 -1.044 -0.005 Si
-2.763 -0.575 1.451 Si
-9.554 -9.620 1.320 Si
```

Electronic total energy ... -5.806 eV per atom
Space group ... Cm

Question: What is the electronic total energy in the fifth record?
Answer: -5.141 eV per atom

Repeat the fifth record exactly.
Entry from OQMD: AgCClO after structural relaxation (PBE).

Geometry as POSCAR:
```
AgCClO
1.0
3.763 0.000 0.000
0.000 8.475 0.000
0.000 0.000 5.052
Ag C Cl O
2 2 2 2
Cartesian
1.882 2.977 2.494 Ag
0.000 5.498 5.020 Ag
1.882 1.323 1.278 C
0.000 7.152 3.804 C
1.882 5.437 1.813 Cl
0.000 3.038 4.339 Cl
1.882 0.330 0.702 O
0.000 8.145 3.228 O
```

Electronic total energy ... -5.141 eV per atom
Space group ... Pmn2_1

Question: electronic total energy of number 5 (AgCClO)?
Answer: -5.141 eV per atom